! PBE CsCN2F, relaxed; values from VASP
! * formation energy without anion corrections: 6.74 eV per formula unit
! * total moment: 0.0 μB/f.u.
! * DFT total energy: -4.37 eV per atom
&SYSTEM
  ibrav = 0, nat = 5, ntyp = 4
/
ATOMIC_SPECIES
N 14.01 N.upf
Cs 132.91 Cs.upf
F 19.00 F.upf
C 12.01 C.upf
CELL_PARAMETERS angstrom
3.454 0.000 0.000
0.000 3.454 0.000
0.000 0.000 6.875
ATOMIC_POSITIONS crystal
N 0.500 0.000 0.000
N 0.000 0.500 0.000
Cs 0.500 0.500 0.500
F 0.000 0.000 0.500
C 0.000 0.000 0.000